# 1
Density functional theory data (GGA-PBE) for a relaxed LaGe3Pt5 crystal.

Summary:
Total DFT energy (no corrections)   -6.130 eV/atom
Symmetry   No. 63

a b c (Å): 3.934 6.794 13.258
angles (deg): 90.00 90.00 106.83
Fractional positions:
Ge 0.377 0.754 0.532
Ge 0.377 0.754 0.968
Pt 0.798 0.597 0.415
La 0.846 0.692 0.750
Pt 0.202 0.403 0.915
Pt 0.468 0.936 0.351
Pt 0.468 0.936 0.149
Pt 0.202 0.403 0.585
Ge 0.110 0.220 0.750
Pt 0.798 0.597 0.085
La 0.154 0.308 0.250
Pt 0.000 0.000 0.500
Ge 0.890 0.780 0.250
Pt 0.532 0.064 0.649
Pt 0.000 0.000 0.000
Ge 0.623 0.246 0.032
Ge 0.623 0.246 0.468
Pt 0.532 0.064 0.851

=====

# 2
Density functional theory data (GGA-PBE) for a relaxed LaGePt4 crystal.

Summary:
ΔE to the lowest computed polymorph   102.7 meV per atom
Total DFT energy (no corrections)   -6.283 eV/atom
Symmetry   No. 216

a b c (Å): 5.443 5.443 5.443
angles (deg): 60.00 60.00 60.00
Fractional positions:
La 0.250 0.250 0.250
Pt 0.626 0.626 0.123
Ge 0.000 0.000 0.000
Pt 0.626 0.626 0.626
Pt 0.123 0.626 0.626
Pt 0.626 0.123 0.626

=====

# 3
Density functional theory data (GGA-PBE) for a relaxed La5Ge5Pt2 crystal.

Summary:
Total DFT energy (no corrections)   -5.904 eV/atom
Symmetry   No. 12

a b c (Å): 4.440 8.209 8.989
angles (deg): 88.08 75.70 74.31
Fractional positions:
Ge 0.055 0.698 0.192
Pt 0.614 0.530 0.243
La 0.624 0.073 0.679
Ge 0.277 0.780 0.665
Ge 0.000 0.000 0.000
La 0.376 0.927 0.321
La 0.693 0.693 0.920
La 0.307 0.307 0.080
La 0.000 0.500 0.500
Ge 0.945 0.302 0.808
Pt 0.386 0.470 0.757
Ge 0.723 0.220 0.335

=====

# 4
Density functional theory data (GGA-PBE) for a relaxed LaGePt3 crystal.

Summary:
ΔE to the lowest computed polymorph   397.1 meV per atom
Total DFT energy (no corrections)   -6.081 eV/atom
Symmetry   No. 221

a b c (Å): 4.771 4.771 4.771
angles (deg): 90.00 90.00 90.00
Fractional positions:
La 0.500 0.500 0.500
Pt 0.500 0.000 0.000
Ge 0.000 0.000 0.000
Pt 0.000 0.000 0.500
Pt 0.000 0.500 0.000

=====

# 5
Density functional theory data (GGA-PBE) for a relaxed LaGe2Pt crystal.

Summary:
Total DFT energy (no corrections)   -5.993 eV/atom
Symmetry   No. 71

a b c (Å): 4.521 8.943 9.752
angles (deg): 117.29 103.40 90.00
Fractional positions:
Ge 0.074 0.574 0.149
Pt 0.851 0.098 0.702
Ge 0.697 0.348 0.394
La 0.705 0.705 0.409
Pt 0.149 0.397 0.298
Ge 0.697 0.046 0.394
Ge 0.926 0.426 0.851
Pt 0.851 0.603 0.702
La 0.500 0.257 0.000
Ge 0.075 0.075 0.150
La 0.295 0.295 0.591
Ge 0.303 0.652 0.606
La 0.500 0.743 0.000
Ge 0.925 0.925 0.850
Ge 0.303 0.954 0.606
Pt 0.149 0.902 0.298

=====

# 6
Density functional theory data (GGA-PBE) for a relaxed LaGePt3 crystal.

Summary:
ΔE to the lowest computed polymorph   275.1 meV per atom
Total DFT energy (no corrections)   -6.203 eV/atom
Symmetry   No. 55

a b c (Å): 5.263 5.675 7.109
angles (deg): 90.00 90.00 90.00
Fractional positions:
La 0.500 0.500 0.500
Pt 0.000 0.124 0.174
La 0.500 0.000 0.000
Ge 0.000 0.000 0.500
Pt 0.000 0.876 0.826
Pt 0.500 0.000 0.500
Ge 0.000 0.500 0.000
Pt 0.000 0.376 0.674
Pt 0.000 0.624 0.326
Pt 0.500 0.500 0.000

=====

# 7
Density functional theory data (GGA-PBE) for a relaxed LaGePt3 crystal.

Summary:
ΔE to the lowest computed polymorph   1888.2 meV per atom
Total DFT energy (no corrections)   -4.590 eV/atom
Symmetry   No. 221

a b c (Å): 5.249 5.249 5.249
angles (deg): 90.00 90.00 90.00
Fractional positions:
Ge 0.500 0.500 0.500
Pt 0.500 0.000 0.000
Pt 0.000 0.000 0.500
Pt 0.000 0.500 0.000
La 0.000 0.000 0.000

=====

# 8
Density functional theory data (GGA-PBE) for a relaxed LaGe3Pt6 crystal.

Summary:
Total DFT energy (no corrections)   -6.069 eV/atom
Symmetry   No. 146

a b c (Å): 6.603 6.603 6.501
angles (deg): 90.00 120.52 120.00
Fractional positions:
Pt 0.223 0.743 0.239
Ge 0.255 0.627 0.882
Ge 0.231 0.116 0.347
Pt 0.281 0.316 0.724
Pt 0.759 0.443 0.724
Pt 0.758 0.016 0.239
Ge 0.760 0.380 0.139
La 0.829 0.914 0.743
Pt 0.496 0.480 0.239
Pt 0.408 0.965 0.724

=====

# 9
Density functional theory data (GGA-PBE) for a relaxed LaGePt4 crystal.

Summary:
ΔE to the lowest computed polymorph   0.0 meV per atom
Total DFT energy (no corrections)   -6.385 eV/atom
Symmetry   No. 63

a b c (Å): 4.037 6.963 8.161
angles (deg): 90.00 104.32 90.00
Fractional positions:
Pt 0.321 0.050 0.641
Ge 0.240 0.750 0.479
Pt 0.500 0.500 0.000
Pt 0.500 0.000 0.000
La 0.101 0.250 0.202
Pt 0.679 0.550 0.359
La 0.899 0.750 0.798
Pt 0.082 0.750 0.163
Pt 0.679 0.950 0.359
Pt 0.321 0.450 0.641
Ge 0.760 0.250 0.521
Pt 0.918 0.250 0.837

=====

# 10
Density functional theory data (GGA-PBE) for a relaxed LaGe2Pt crystal.

Summary:
Total DFT energy (no corrections)   -5.498 eV/atom
Symmetry   No. 225

a b c (Å): 4.877 4.877 4.877
angles (deg): 60.00 60.00 60.00
Fractional positions:
Ge 0.750 0.750 0.750
La 0.000 0.000 0.000
Pt 0.500 0.500 0.500
Ge 0.250 0.250 0.250

=====

# 11
Density functional theory data (GGA-PBE) for a relaxed La2GePt crystal.

Summary:
Total DFT energy (no corrections)   -6.014 eV/atom
Symmetry   No. 166

a b c (Å): 4.433 4.433 7.269
angles (deg): 72.24 72.24 60.00
Fractional positions:
Ge 0.500 0.500 0.500
Pt 0.000 0.000 0.000
La 0.748 0.748 0.755
La 0.252 0.252 0.245

=====

# 12
Density functional theory data (GGA-PBE) for a relaxed La2GePt2 crystal.

Summary:
Total DFT energy (no corrections)   -6.221 eV/atom
Symmetry   No. 139

a b c (Å): 5.719 5.719 5.629
angles (deg): 59.47 59.47 90.00
Fractional positions:
La 0.250 0.750 0.500
La 0.750 0.250 0.500
Pt 0.664 0.664 0.673
Pt 0.336 0.336 0.327
Ge 0.000 0.000 0.000